1.
Entry from the Alexandria database: a geometry-optimized LiCeCd4 structure (PBE-GGA).

It has space group F-43m (No. 216), with a = 8.3441 Å, b = 8.3441 Å, c = 8.3441 Å, α = 90.00°, β = 90.00° and γ = 90.00°. The inequivalent atoms are Li at (0.0000, 0.0000, 0.0000), Ce at (0.2500, 0.2500, 0.7500) and Cd at (0.1252, 0.1252, 0.3748).

For the density of states at the Fermi level, the calculation gives 1.996 states/eV per atom. Its energy relative to the elements is -0.115 eV per atom. For the mass density, the calculation gives 6822 kg/m3. The raw total energy comes out at -2.0326 eV per atom. The calculation puts the distance to the lowest polymorph of the same formula at 84.1 meV per atom. The value obtained for the spin magnetization is 5.77 μB per cell.

2.
Entry from the Alexandria database: a geometry-optimized LiCeCd2 structure (PBE-GGA).

It has space group P4/mmm (No. 123), with a = 5.5045 Å, b = 5.5045 Å, c = 3.2884 Å, α = 90.00°, β = 90.00° and γ = 90.00°. The inequivalent atoms are Li at (0.0000, 0.0000, 0.0000), Ce at (0.5000, 0.5000, 0.0000) and Cd at (0.0000, 0.5000, 0.5000).

For the density of states at the Fermi level, the calculation gives 1.786 states/eV per atom. Its energy relative to the elements is -0.104 eV per atom. For the mass density, the calculation gives 6198 kg/m3. The raw total energy comes out at -2.5236 eV per atom. The value obtained for the spin magnetization is 1.05 μB per cell.